Li3VO3F2 | PBE+U | relaxed

Summary:
Polymorph energy (0 for the lowest one) in eV/f.u.: 0.26

```
Li3VO3F2
1.0
5.0576 0.0000 0.0000
-1.1337 5.0495 0.0000
-2.4320 -2.0263 7.0296
Li V O F
6 2 6 4
direct
0.0000 0.0000 0.0000 Li
0.0603 0.5071 0.5070 Li
0.2679 0.6264 0.1768 Li
0.3554 0.1948 0.3829 Li
0.6531 0.7971 0.5842 Li
0.8720 0.4269 0.7991 Li
0.2749 0.0560 0.7167 V
0.6548 0.3421 0.1292 V
0.0501 0.7854 0.7516 O
0.2797 0.8912 0.4984 O
0.3002 0.3377 0.9511 O
0.6346 0.5411 0.3259 O
0.6364 0.0891 0.8644 O
0.9913 0.2795 0.2284 O
0.4257 0.0048 0.1667 F
0.4568 0.4347 0.6332 F
0.8688 0.6390 0.0491 F
0.9179 0.1799 0.5918 F
```